# 1
VASP calculation (PBE) on a relaxed ZnSn3Pd12 crystal.

Lattice parameters (Å, degrees): 4.019 4.019 15.954 90.00 90.00 90.00
Element x y z (fractional)
Pd 0.500 0.000 0.881
Pd 0.500 0.500 0.500
Pd 0.500 0.000 0.119
Pd 0.500 0.000 0.627
Pd 0.500 0.000 0.373
Pd 0.500 0.500 0.753
Pd 0.500 0.500 0.247
Pd 0.000 0.500 0.119
Pd 0.000 0.500 0.373
Pd 0.500 0.500 0.000
Pd 0.000 0.500 0.881
Pd 0.000 0.500 0.627
Sn 0.000 0.000 0.243
Sn 0.000 0.000 0.500
Sn 0.000 0.000 0.757
Zn 0.000 0.000 0.000

Results
- Energy of formation from the pure elements: -448 meV/atom


# 2
VASP calculation (PBE) on a relaxed Ti3PtC crystal.

Lattice parameters (Å, degrees): 19.763 7.823 7.823 158.06 157.83 22.17
Element x y z (fractional)
Ti 0.026 0.384 0.616
Ti 0.974 0.616 0.384
Ti 0.635 0.432 0.568
Ti 0.365 0.568 0.432
Ti 0.666 0.587 0.413
Ti 0.334 0.413 0.587
Pt 0.775 0.097 0.903
Pt 0.225 0.903 0.097
C 0.650 0.009 0.991
C 0.350 0.991 0.009

Results
- Energy of formation from the pure elements: -572 meV/atom
- Relative energy among the computed polymorphs: 252.6 meV/atom


# 3
VASP calculation (PBE) on a relaxed SnBi2Pd crystal.

Lattice parameters (Å, degrees): 4.517 4.517 6.931 70.98 70.98 60.00
Element x y z (fractional)
Sn 0.505 0.505 0.486
Bi 0.064 0.064 0.808
Bi 0.270 0.270 0.189
Pd 0.661 0.661 0.017

Results
- Energy of formation from the pure elements: -76 meV/atom


# 4
VASP calculation (PBE) on a relaxed TaCoBRu2 crystal.

Lattice parameters (Å, degrees): 4.083 4.083 3.833 90.00 90.00 90.00
Element x y z (fractional)
B 0.000 0.000 0.000
Co 0.000 0.000 0.500
Ru 0.500 0.000 0.000
Ru 0.000 0.500 0.000
Ta 0.500 0.500 0.500

Results
- Energy of formation from the pure elements: -273 meV/atom


# 5
VASP calculation (PBE) on a relaxed Sm2Th3 crystal.

Lattice parameters (Å, degrees): 9.853 9.853 6.903 44.46 44.46 60.00
Element x y z (fractional)
Sm 0.127 0.127 0.618
Sm 0.873 0.873 0.382
Sm 0.627 0.627 0.118
Sm 0.373 0.373 0.882
Th 0.750 0.408 0.750
Th 0.908 0.250 0.250
Th 0.592 0.908 0.250
Th 0.408 0.092 0.750
Th 0.092 0.750 0.750
Th 0.250 0.592 0.250

Results
- Energy of formation from the pure elements: 345 meV/atom
- Relative energy among the computed polymorphs: 326.0 meV/atom


# 6
VASP calculation (PBE) on a relaxed NdNiPb crystal.

Lattice parameters (Å, degrees): 3.802 4.643 4.643 120.00 90.00 90.00
Element x y z (fractional)
Pb 0.167 0.333 0.667
Nd 0.667 0.667 0.333
Ni 0.166 0.000 0.000

Results
- Energy of formation from the pure elements: -349 meV/atom


# 7
VASP calculation (PBE) on a relaxed PuMgHPb crystal.

Lattice parameters (Å, degrees): 4.363 4.363 8.501 90.00 90.00 90.00
Element x y z (fractional)
Pu 0.500 0.000 0.115
Pu 0.000 0.500 0.885
Mg 0.500 0.500 0.500
Mg 0.000 0.000 0.500
H 0.000 0.000 0.000
H 0.500 0.500 0.000
Pb 0.500 0.000 0.733
Pb 0.000 0.500 0.267

Results
- Electronic total energy: -47.9 eV/cell


# 8
VASP calculation (PBE) on a relaxed Ac7Sn4Ru crystal.

Lattice parameters (Å, degrees): 5.595 10.318 8.895 78.04 71.67 74.27
Element x y z (fractional)
Ac 0.641 0.451 0.268
Ac 0.359 0.549 0.732
Ac 0.500 0.000 0.000
Ac 0.220 0.130 0.429
Ac 0.072 0.730 0.127
Ac 0.780 0.870 0.571
Ac 0.928 0.270 0.873
Ru 0.000 0.000 0.000
Sn 0.579 0.224 0.618
Sn 0.723 0.652 0.901
Sn 0.277 0.348 0.099
Sn 0.421 0.776 0.382

Results
- Energy of formation from the pure elements: -362 meV/atom


# 9
VASP calculation (PBE) on a relaxed Pm6ZrTe12 crystal.

Lattice parameters (Å, degrees): 8.906 8.906 8.906 98.83 98.83 98.83
Element x y z (fractional)
Te 0.323 0.066 0.981
Te 0.819 0.565 0.428
Te 0.181 0.435 0.572
Te 0.981 0.323 0.066
Te 0.435 0.572 0.181
Te 0.677 0.934 0.019
Te 0.934 0.019 0.677
Te 0.066 0.981 0.323
Te 0.565 0.428 0.819
Te 0.019 0.677 0.934
Te 0.428 0.819 0.565
Te 0.572 0.181 0.435
Pm 0.300 0.133 0.641
Pm 0.867 0.359 0.700
Pm 0.641 0.300 0.133
Pm 0.700 0.867 0.359
Pm 0.359 0.700 0.867
Pm 0.133 0.641 0.300
Zr 0.000 0.000 0.000

Results
- Uncorrected formation energy: -1.17 eV/atom


# 10
VASP calculation (PBE) on a relaxed Tb3Nd2ScTe6 crystal.

Lattice parameters (Å, degrees): 4.359 8.805 9.805 102.45 102.84 90.00
Element x y z (fractional)
Tb 0.176 0.838 0.353
Tb 0.824 0.162 0.647
Tb 0.500 0.500 0.000
Sc 0.500 0.000 0.000
Nd 0.170 0.335 0.340
Nd 0.830 0.665 0.660
Te 0.338 0.411 0.675
Te 0.662 0.589 0.325
Te 0.658 0.072 0.316
Te 0.995 0.238 0.991
Te 0.342 0.928 0.684
Te 0.005 0.762 0.009

Results
- Uncorrected formation energy: -1.31 eV/atom


# 11
VASP calculation (PBE) on a relaxed Cd4Cu3 crystal.

Lattice parameters (Å, degrees): 5.126 5.126 5.339 90.00 90.00 120.00
Element x y z (fractional)
Cu 0.000 0.500 0.000
Cu 0.500 0.500 0.000
Cu 0.500 0.000 0.000
Cd 0.333 0.667 0.500
Cd 0.667 0.333 0.500
Cd 0.000 0.000 0.249
Cd 0.000 0.000 0.751

Results
- Energy of formation from the pure elements: 54 meV/atom
- Relative energy among the computed polymorphs: 6.2 meV/atom


# 12
VASP calculation (PBE) on a relaxed Dy5Er4Th crystal.

Lattice parameters (Å, degrees): 6.346 7.821 7.821 80.53 66.06 66.06
Element x y z (fractional)
Th 0.225 0.000 0.000
Dy 0.690 0.000 0.000
Dy 0.807 0.378 0.909
Dy 0.094 0.622 0.091
Dy 0.716 0.091 0.378
Dy 0.184 0.909 0.622
Er 0.795 0.704 0.603
Er 0.499 0.603 0.296
Er 0.398 0.397 0.704
Er 0.102 0.296 0.397

Results
- Energy of formation from the pure elements: 332 meV/atom
- Relative energy among the computed polymorphs: 114.2 meV/atom


# 13
VASP calculation (PBE) on a relaxed CsNaInAg2 crystal.

Lattice parameters (Å, degrees): 5.491 5.491 5.910 90.00 90.00 90.00
Element x y z (fractional)
In 0.000 0.000 0.000
Cs 0.500 0.500 0.500
Ag 0.000 0.500 0.000
Ag 0.500 0.000 0.000
Na 0.000 0.000 0.500

Results
- Energy of formation from the pure elements: 80 meV/atom


# 14
VASP calculation (PBE) on a relaxed MnCrTc crystal.

Lattice parameters (Å, degrees): 4.703 4.703 4.703 90.29 119.43 120.23
Element x y z (fractional)
Mn 0.500 0.500 0.500
Mn 0.000 0.500 0.000
Cr 0.000 0.500 0.500
Cr 0.500 0.000 0.500
Tc 0.250 0.126 0.876
Tc 0.750 0.874 0.124

Results
- Energy of formation from the pure elements: -32 meV/atom
- Relative energy among the computed polymorphs: 0.0 meV/atom


# 15
VASP calculation (PBE) on a relaxed SmAsBrO4 crystal.

Lattice parameters (Å, degrees): 6.718 6.718 6.916 79.67 79.67 57.64
Element x y z (fractional)
O 0.295 0.295 0.500
O 0.511 0.511 0.235
O 0.522 0.116 0.127
O 0.478 0.884 0.873
O 0.489 0.489 0.765
O 0.116 0.522 0.127
O 0.705 0.705 0.500
O 0.884 0.478 0.873
As 0.635 0.635 0.740
As 0.365 0.365 0.260
Br 0.019 0.019 0.330
Br 0.981 0.981 0.670
Sm 0.297 0.297 0.826
Sm 0.703 0.703 0.174

Results
- Uncorrected formation energy: -1.89 eV/atom


# 16
VASP calculation (PBE) on a relaxed CsNi2Pb crystal.

Lattice parameters (Å, degrees): 5.066 5.066 5.066 60.00 60.00 60.00
Element x y z (fractional)
Ni 0.750 0.750 0.750
Ni 0.250 0.250 0.250
Pb 0.500 0.500 0.500
Cs 0.000 0.000 0.000

Results
- Energy of formation from the pure elements: 920 meV/atom
- Relative energy among the computed polymorphs: 161.6 meV/atom


# 17
VASP calculation (PBE) on a relaxed AlCo3I crystal.

Lattice parameters (Å, degrees): 4.413 4.413 4.413 90.00 90.00 90.00
Element x y z (fractional)
I 0.500 0.500 0.500
Co 0.000 0.000 0.500
Co 0.500 0.000 0.000
Co 0.000 0.500 0.000
Al 0.000 0.000 0.000

Results
- Relative energy among the computed polymorphs: 0.0 meV/atom
- Uncorrected formation energy: 1.05 eV/atom


# 18
VASP calculation (PBE) on a relaxed ZrZnSnAu crystal.

Lattice parameters (Å, degrees): 4.173 4.231 4.397 90.00 90.00 90.00
Element x y z (fractional)
Sn 0.000 0.500 0.500
Zn 0.000 0.000 0.000
Zr 0.500 0.000 0.500
Au 0.500 0.500 0.000

Results
- Energy of formation from the pure elements: -408 meV/atom


# 19
VASP calculation (PBE) on a relaxed ReTeMo2 crystal.

Lattice parameters (Å, degrees): 9.006 9.006 9.006 19.17 19.17 19.17
Element x y z (fractional)
Mo 0.504 0.504 0.504
Mo 0.996 0.996 0.996
Re 0.250 0.250 0.250
Te 0.750 0.750 0.750

Results
- Uncorrected formation energy: 0.48 eV/atom


# 20
VASP calculation (PBE) on a relaxed SiAsPC crystal.

Lattice parameters (Å, degrees): 4.416 3.545 8.162 90.00 97.94 90.00
Element x y z (fractional)
As 0.437 0.500 0.165
As 0.437 0.000 0.665
Si 0.027 0.500 0.798
Si 0.027 0.000 0.298
C 0.694 0.500 0.614
C 0.694 0.000 0.114
P 0.796 0.000 0.911
P 0.796 0.500 0.411

Results
- Relative energy among the computed polymorphs: 215.7 meV/atom
- Uncorrected formation energy: 0.51 eV/atom